KNi3As3O11 (PBE+U, optimized geometry); total magnetization = 0.333 μB per atom; D(E_F) = 0.00 states/eV/f.u.; symmetry = P2_1/c (14); energy = -5.595 eV per atom
1.0
10.2572 0.0000 0.0000
0.0000 9.8406 0.0000
-5.1827 0.0000 9.0463
K Ni As O
4 12 12 44
Direct
0.0906 0.2328 0.0890
0.0906 0.2672 0.5890
0.9094 0.7328 0.4110
0.9094 0.7672 0.9110
0.2380 0.6364 0.8810
0.2380 0.8636 0.3810
0.4090 0.1293 0.9005
0.4090 0.3707 0.4005
0.4122 0.6319 0.2365
0.4122 0.8681 0.7365
0.5878 0.1319 0.2635
0.5878 0.3681 0.7635
0.5910 0.6293 0.5995
0.5910 0.8707 0.0995
0.7620 0.1364 0.6190
0.7620 0.3636 0.1190
0.0931 0.5567 0.2412
0.0931 0.9433 0.7412
0.2719 0.5741 0.5856
0.2719 0.9259 0.0856
0.4012 0.1575 0.5686
0.4012 0.3425 0.0686
0.5988 0.6575 0.9314
0.5988 0.8425 0.4314
0.7281 0.0741 0.9144
0.7281 0.4259 0.4144
0.9069 0.0567 0.2588
0.9069 0.4433 0.7588
0.0564 0.5341 0.8812
0.0564 0.9659 0.3812
0.0813 0.7281 0.2294
0.0813 0.7719 0.7294
0.1134 0.5126 0.4215
0.1134 0.9874 0.9215
0.2464 0.5164 0.7229
0.2464 0.9836 0.2229
0.2581 0.5024 0.2502
0.2581 0.9976 0.7502
0.2631 0.7475 0.5643
0.2631 0.7525 0.0643
0.2648 0.2364 0.4153
0.2648 0.2636 0.9153
0.3951 0.5163 0.0646
0.3951 0.9837 0.5646
0.4143 0.2277 0.7286
0.4143 0.2723 0.2286
0.4271 0.0027 0.0859
0.4271 0.4973 0.5859
0.4364 0.7409 0.9143
0.4364 0.7591 0.4143
0.5636 0.2409 0.5857
0.5636 0.2591 0.0857
0.5729 0.5027 0.4141
0.5729 0.9973 0.9141
0.5857 0.7277 0.7714
0.5857 0.7723 0.2714
0.6049 0.0163 0.4354
0.6049 0.4837 0.9354
0.7352 0.7364 0.0847
0.7352 0.7636 0.5847
0.7369 0.2475 0.9357
0.7369 0.2525 0.4357
0.7419 0.0024 0.2498
0.7419 0.4976 0.7498
0.7536 0.0164 0.7771
0.7536 0.4836 0.2771
0.8866 0.0126 0.0785
0.8866 0.4874 0.5785
0.9187 0.2281 0.2706
0.9187 0.2719 0.7706
0.9436 0.0341 0.6188
0.9436 0.4659 0.1188